A relaxed CsCd2Hg8 crystal, computed with GGA-PBE.

Computed properties:
- crystal system = tetragonal
- magnetic moment (μB per cell) = 0.0
- E_tot (eV/atom) = -0.4984

abc: 6.3281 6.3281 10.7479
angles: 90.00 90.00 90.00
Fractional positions:
Cs (0.0000, 0.0000, 0.0000)
Cd (0.0000, 0.5000, 0.5000)
Cd (0.5000, 0.0000, 0.5000)
Hg (0.2526, 0.2526, 0.2922)
Hg (0.2526, 0.2526, 0.7078)
Hg (0.2526, 0.7474, 0.2922)
Hg (0.2526, 0.7474, 0.7078)
Hg (0.7474, 0.2526, 0.2922)
Hg (0.7474, 0.2526, 0.7078)
Hg (0.7474, 0.7474, 0.2922)
Hg (0.7474, 0.7474, 0.7078)

A relaxed Cs4CdHg5 crystal, computed with GGA-PBE.

Computed properties:
- crystal system = tetragonal
- magnetic moment (μB per cell) = 0.0
- E_tot (eV/atom) = -0.7727

abc: 9.1868 9.1868 9.1868
angles: 96.24 96.24 141.49
Fractional positions:
Cs (0.0000, 0.2831, 0.2831)
Cs (0.0000, 0.7169, 0.7169)
Cs (0.2831, 0.0000, 0.2831)
Cs (0.7169, 0.0000, 0.7169)
Cd (0.2976, 0.2976, 0.0000)
Hg (0.3180, 0.3180, 0.6433)
Hg (0.3180, 0.6747, 0.0000)
Hg (0.6747, 0.3180, 0.0000)
Hg (0.6747, 0.6747, 0.3567)
Hg (0.7832, 0.7832, 0.0000)

A relaxed CsCdHg crystal, computed with GGA-PBE.

Computed properties:
- E above lowest polymorph (meV/atom) = 7
- crystal system = triclinic
- magnetic moment (μB per cell) = 0.0
- E_tot (eV/atom) = -0.8254

abc: 7.5322 8.5510 9.3079
angles: 107.48 109.00 100.44
Fractional positions:
Cs (0.1106, 0.0847, 0.3057)
Cs (0.2716, 0.5961, 0.2525)
Cs (0.7284, 0.4039, 0.7475)
Cs (0.8894, 0.9153, 0.6943)
Cd (0.1926, 0.5687, 0.6376)
Cd (0.4991, 0.1881, 0.0377)
Cd (0.5009, 0.8119, 0.9623)
Cd (0.8074, 0.4313, 0.3624)
Hg (0.2754, 0.3559, 0.8331)
Hg (0.3841, 0.9489, 0.6784)
Hg (0.6159, 0.0511, 0.3216)
Hg (0.7246, 0.6441, 0.1669)

A relaxed CsCdHg3 crystal, computed with GGA-PBE.

Computed properties:
- E above lowest polymorph (meV/atom) = 23
- crystal system = cubic
- magnetic moment (μB per cell) = 0.0
- E_tot (eV/atom) = -0.6757

abc: 5.7875 5.7875 5.7875
angles: 90.00 90.00 90.00
Fractional positions:
Cs (0.0000, 0.0000, 0.0000)
Cd (0.5000, 0.5000, 0.5000)
Hg (0.0000, 0.5000, 0.5000)
Hg (0.5000, 0.0000, 0.5000)
Hg (0.5000, 0.5000, 0.0000)

A relaxed Cs5CdHg2 crystal, computed with GGA-PBE.

Computed properties:
- crystal system = tetragonal
- magnetic moment (μB per cell) = 0.0
- E_tot (eV/atom) = -0.8595

abc: 12.0281 12.0281 12.0281
angles: 130.21 130.21 73.08
Fractional positions:
Cs (0.0000, 0.0000, 0.0000)
Cs (0.0320, 0.5320, 0.8481)
Cs (0.1839, 0.0320, 0.5000)
Cs (0.3161, 0.8161, 0.8481)
Cs (0.4680, 0.3161, 0.5000)
Cs (0.5000, 0.5000, 0.0000)
Cs (0.5320, 0.6839, 0.5000)
Cs (0.6839, 0.1839, 0.1519)
Cs (0.8161, 0.9680, 0.5000)
Cs (0.9680, 0.4680, 0.1519)
Cd (0.2500, 0.2500, 0.0000)
Cd (0.7500, 0.7500, 0.0000)
Hg (0.1084, 0.3916, 0.5000)
Hg (0.3916, 0.8916, 0.2832)
Hg (0.6084, 0.1084, 0.7168)
Hg (0.8916, 0.6084, 0.5000)

A relaxed Cs2Cd2Hg5 crystal, computed with GGA-PBE.

Computed properties:
- crystal system = tetragonal
- magnetic moment (μB per cell) = 0.0
- E_tot (eV/atom) = -0.6977

abc: 5.3384 5.3384 11.6495
angles: 90.00 90.00 90.00
Fractional positions:
Cs (0.0000, 0.0000, 0.0000)
Cs (0.0000, 0.0000, 0.5000)
Cd (0.5000, 0.5000, 0.1314)
Cd (0.5000, 0.5000, 0.8686)
Hg (0.0000, 0.5000, 0.2641)
Hg (0.0000, 0.5000, 0.7359)
Hg (0.5000, 0.0000, 0.2641)
Hg (0.5000, 0.0000, 0.7359)
Hg (0.5000, 0.5000, 0.5000)